No. 1
Compound: Ce2In8Pt
Source: the Alexandria database
Functional: PBE
Structure: optimized geometry

a b c (Å): 4.733 4.733 12.254
angles (deg): 90.00 90.00 90.00
Atoms (fractional coordinates):
Ce 0.000 0.000 0.193
Ce 0.000 0.000 0.807
In 0.000 0.500 0.000
In 0.000 0.500 0.375
In 0.000 0.500 0.625
In 0.500 0.000 0.000
In 0.500 0.000 0.375
In 0.500 0.000 0.625
In 0.500 0.500 0.191
In 0.500 0.500 0.809
Pt 0.000 0.000 0.500

Properties
E: -4.07 eV per atom
size of the total moment: 1.31 μB per formula unit
V: 275 Å³ per cell
crystal system: tetragonal

---

No. 2
Compound: As2SeSN
Source: the Alexandria database
Functional: PBE
Structure: optimized geometry

a b c (Å): 4.489 4.489 4.218
angles (deg): 90.00 90.00 90.00
Atoms (fractional coordinates):
As 0.000 0.500 0.000
As 0.500 0.000 0.000
Se 0.000 0.000 0.500
S 0.500 0.500 0.500
N 0.000 0.000 0.000

Properties
E: -4.02 eV per atom
size of the total moment: 0.00 μB per formula unit
uncorrected formation energy: 99 kJ/mol of atoms
V: 85 Å³ per cell
crystal system: tetragonal

---

No. 3
Compound: CaCo2N2
Source: the Alexandria database
Functional: PBE
Structure: optimized geometry

a b c (Å): 3.452 3.452 6.070
angles (deg): 90.00 90.00 90.00
Atoms (fractional coordinates):
Ca 0.000 0.000 0.000
Co 0.500 0.500 0.302
Co 0.500 0.500 0.698
N 0.000 0.500 0.715
N 0.500 0.000 0.285

Properties
E: -6.52 eV per atom
size of the total moment: 0.74 μB per formula unit
uncorrected formation energy: 5 kJ/mol of atoms
V: 72 Å³ per cell
crystal system: tetragonal

---

No. 4
Compound: MnNbCoHSe
Source: the Alexandria database
Functional: PBE
Structure: optimized geometry

a b c (Å): 7.764 3.274 5.763
angles (deg): 90.00 123.16 90.00
Atoms (fractional coordinates):
Mn 0.000 0.000 0.000
Mn 0.500 0.500 0.000
Nb 0.219 0.000 0.525
Nb 0.719 0.500 0.525
Co 0.086 0.500 0.688
Co 0.586 0.000 0.688
H 0.460 0.500 0.669
H 0.960 0.000 0.669
Se 0.367 0.000 0.163
Se 0.867 0.500 0.163

Properties
E: -6.63 eV per atom
size of the total moment: 0.07 μB per formula unit
V: 123 Å³ per cell
crystal system: monoclinic

---

Look up the E of the third one.
-6.52 eV per atom